The following is a DFT calculation (PBE) of a geometry-optimized Dy3Ho8Zr structure.

```
Dy3Ho8Zr
1.0
-3.7924 3.7924 7.5540
3.7924 -3.7924 7.5540
3.7924 3.7924 -7.5540
Dy Ho Zr
3 8 1
Direct
0.0000 0.0000 0.0000
0.2500 0.7500 0.5000
0.7500 0.2500 0.5000
0.1393 0.1393 0.5185
0.1393 0.6209 0.0000
0.3791 0.3791 0.5185
0.3791 0.8607 0.0000
0.6209 0.1393 0.0000
0.6209 0.6209 0.4815
0.8607 0.3791 0.0000
0.8607 0.8607 0.4815
0.5000 0.5000 0.0000
```

Values from the calculation:
- calculated formation energy (eV per atom) = 0.7377



The following is a DFT calculation (PBE) of a geometry-optimized CrIrW3 structure.

```
CrIrW3
1.0
4.4208 0.0000 0.0000
0.0000 4.4208 0.0000
0.0000 0.0000 4.4208
Cr Ir W
1 1 3
Direct
0.0000 0.0000 0.0000
0.5000 0.5000 0.5000
0.0000 0.0000 0.5000
0.0000 0.5000 0.0000
0.5000 0.0000 0.0000
```

Values from the calculation:
- calculated formation energy (eV per atom) = 1.4695
- polymorph energy (0 for the lowest one) (eV/atom) = 0.000



The following is a DFT calculation (PBE) of a geometry-optimized TaCd2Si structure.

```
TaCd2Si
1.0
1.5085 0.8709 9.8108
-1.5085 0.8709 9.8108
0.0000 -1.7419 9.8108
Ta Cd Si
1 2 1
Direct
0.0000 0.0000 0.0000
0.2494 0.2494 0.2494
0.7506 0.7506 0.7506
0.5000 0.5000 0.5000
```

Values from the calculation:
- raw formation energy (meV per atom) = 444



The following is a DFT calculation (PBE) of a geometry-optimized Ti4AlRu5 structure.

```
Ti4AlRu5
1.0
3.0736 0.0000 0.0000
0.0000 3.0736 0.0000
0.0000 0.0000 15.2689
Ti Al Ru
4 1 5
Direct
0.0000 0.0000 0.1022
0.0000 0.0000 0.3064
0.0000 0.0000 0.6936
0.0000 0.0000 0.8978
0.0000 0.0000 0.5000
0.5000 0.5000 0.0000
0.5000 0.5000 0.2007
0.5000 0.5000 0.4009
0.5000 0.5000 0.5991
0.5000 0.5000 0.7993
```

Values from the calculation:
- calculated formation energy (eV per atom) = -0.7817